# TlMo2PbO8

An optimized crystal structure of TlMo2PbO8 (PBE+U, the Alexandria database).

Values from the calculation:
**Raw total energy**: -75.971 eV/f.u.
**Total magnetization**: 0.00 μB per cell
**V**: 237.4 Å³/cell

abc: 6.113 6.113 7.335
angles: 90.00 90.00 120.00
Sites, in units of the cell vectors:
Tl (0.000, 0.000, 0.000)
Mo (0.333, 0.667, 0.312)
Mo (0.667, 0.333, 0.688)
Pb (0.000, 0.000, 0.500)
O (0.168, 0.336, 0.241)
O (0.168, 0.832, 0.241)
O (0.333, 0.667, 0.550)
O (0.336, 0.168, 0.759)
O (0.664, 0.832, 0.241)
O (0.667, 0.333, 0.450)
O (0.832, 0.168, 0.759)
O (0.832, 0.664, 0.759)